4
Lattice="1.908 1.102 10.094 -1.908 1.102 10.094 0.000 -2.203 10.094" Properties=species:S:1:pos:R:3 comment="ZrSnTe2 GGA-PBE optimized geometry" sg="No. 166" e_form_raw_ev_per_atom=-0.525 mass_density_g_cm3=6.066 total_magnetization_mub_per_cell=0.0 dft_energy_ry_per_atom=-0.385 pbc="T T T"
Zr 0.000 0.000 0.000
Sn 0.000 0.000 15.142
Te 0.000 0.000 11.974
Te 0.000 0.000 18.310